First-principles (GGA-PBE) data for an optimized crystal structure of Tb2PmNdY5, as listed in Alexandria via LeMat-Bulk.

Properties
As for the space group: I4/mcm, No. 140. For the formation energy, the calculation gives 258 meV/atom. The total DFT energy (no corrections) is -5.420 eV per atom.

Cell lengths 8.7821, 8.7821, 9.8878 Å; angles 116.37, 116.37, 90.00 degrees
Closest atoms and distances in Å follow each position.
Element x y z (fractional)
Tb 0.1165 0.3835 0.0000  1 Tb 2.89, 2 Y 3.04
Tb 0.8835 0.6165 0.0000  1 Tb 2.89, 2 Y 3.04
Tb 0.6165 0.1165 0.0000  1 Tb 2.89, 2 Y 3.04
Tb 0.3835 0.8835 0.0000  1 Tb 2.89, 2 Y 3.04
Y 0.0695 0.5695 0.7310  1 Tb 3.04, 1 Nd 3.09
Y 0.5000 0.5000 0.0000  4 Tb 3.52, 8 Y 3.78, 2 Pm 3.85
Y 0.6616 0.1616 0.7310  1 Tb 3.04, 1 Nd 3.09
Y 0.8384 0.9305 0.2690  1 Tb 3.04, 1 Nd 3.09
Y 0.4305 0.3384 0.2690  1 Tb 3.04, 1 Nd 3.09
Y 0.5695 0.6616 0.7310  1 Tb 3.04, 1 Nd 3.09
Y 0.0000 0.0000 0.0000  4 Tb 3.52, 8 Y 3.78, 2 Pm 3.85
Y 0.9305 0.4305 0.2690  1 Tb 3.04, 1 Nd 3.09
Y 0.3384 0.8384 0.2690  1 Tb 3.04, 1 Nd 3.09
Y 0.1616 0.0695 0.7310  1 Tb 3.04, 1 Nd 3.09
Pm 0.7500 0.7500 0.5000  10 Y 3.62-3.85
Pm 0.2500 0.2500 0.5000  10 Y 3.62-3.85
Nd 0.2500 0.7500 0.5000  4 Y 3.09
Nd 0.7500 0.2500 0.5000  4 Y 3.09